VASP calculation (PBE) on a relaxed BeAgOs2 crystal.

Cell: 4.0175 2.7628 5.2750 Å, 73.74 90.00 90.00°
Atoms (fractional coordinates):
Os1 0.0000 0.5970 0.5382
Os2 0.0000 0.9030 0.9618
Ag1 0.5000 0.2500 0.2500
Be1 0.5000 0.7500 0.7500

## Properties
- energy relative to the elements (eV/atom) = 0.526
- theoretical density (g/cm³) = 14.7
- space-group type = P2/m (10)